Entry 1:
DFT (PBE) results for a relaxed structure of ThAsPt4.

a = 7.6751 Å, b = 7.6751 Å, c = 7.6751 Å
α = 90.00°, β = 90.00°, γ = 90.00°
Space group F-43m (No. 216)
Symmetry-distinct sites (fractional):
Th  0.0000  0.0000  0.0000 (multiplicity 4)
As  0.2500  0.2500  0.2500 (multiplicity 4)
Pt  0.1246  0.1246  0.6246 (multiplicity 16)

ΔH_f (0 K) = -0.66 eV/atom

***

Entry 2:
DFT (PBE) results for a relaxed structure of Nb3AlSn.

a = 4.7418 Å, b = 4.7418 Å, c = 4.7418 Å
α = 90.00°, β = 90.00°, γ = 90.00°
Space group Pm-3m (No. 221)
Symmetry-distinct sites (fractional):
Nb  0.0000  0.0000  0.5000 (multiplicity 3)
Al  0.0000  0.0000  0.0000 (multiplicity 1)
Sn  0.5000  0.5000  0.5000 (multiplicity 1)

ΔH_f (0 K) = 0.87 eV/atom

***

Entry 3:
DFT (PBE) results for a relaxed structure of NdGd.

a = 3.6477 Å, b = 3.6477 Å, c = 10.2045 Å
α = 90.00°, β = 90.00°, γ = 90.00°
Space group P4/nmm (No. 129, origin choice 2)
Symmetry-distinct sites (fractional):
Nd  0.2500  0.2500  0.1275 (multiplicity 2)
Gd  0.2500  0.2500  0.6232 (multiplicity 2)

ΔH_f (0 K) = 0.02 eV/atom

***

Entry 4:
DFT (PBE) results for a relaxed structure of ThZrSc3.

a = 5.0955 Å, b = 10.9100 Å, c = 9.4193 Å
α = 90.00°, β = 90.00°, γ = 90.00°
Space group Cmcm (No. 63)
Symmetry-distinct sites (fractional):
Th  0.0000  0.0000  0.0000 (multiplicity 4)
Zr  0.0000  0.4594  0.2500 (multiplicity 4)
Sc  0.0000  0.1859  0.2500 (multiplicity 4)
Sc  0.0000  0.3057  0.5642 (multiplicity 8)

ΔH_f (0 K) = 0.17 eV/atom

***

Entry 5:
DFT (PBE) results for a relaxed structure of MnTe2Pt.

a = 4.0492 Å, b = 4.0492 Å, c = 19.1335 Å
α = 90.00°, β = 90.00°, γ = 120.00°
Space group R-3m (No. 166, hexagonal axes)
Symmetry-distinct sites (fractional):
Mn  0.0000  0.0000  0.0000 (multiplicity 3)
Te  0.0000  0.0000  0.2470 (multiplicity 6)
Pt  0.0000  0.0000  0.5000 (multiplicity 3)

raw formation energy = -0.88 kcal/mol of atoms

***

Entry 6:
DFT (PBE) results for a relaxed structure of Na2ScSbO4.

a = 5.8249 Å, b = 3.3009 Å, c = 5.8605 Å
α = 90.00°, β = 108.99°, γ = 90.00°
Space group P2/m (No. 10)
Symmetry-distinct sites (fractional):
Na  0.0000  0.0000  0.0000 (multiplicity 1)
Na  0.5000  0.5000  0.0000 (multiplicity 1)
Sc  0.0000  0.5000  0.5000 (multiplicity 1)
Sb  0.5000  0.0000  0.5000 (multiplicity 1)
O  0.2199  0.0000  0.7053 (multiplicity 2)
O  0.2376  0.5000  0.2834 (multiplicity 2)

raw formation energy = -46.91 kcal/mol of atoms

***

Entry 7:
DFT (PBE) results for a relaxed structure of Cs2Ca2Pt.

a = 4.4796 Å, b = 4.4796 Å, c = 21.5469 Å
α = 90.00°, β = 90.00°, γ = 90.00°
Space group I4/mmm (No. 139)
Symmetry-distinct sites (fractional):
Cs  0.0000  0.5000  0.2500 (multiplicity 4)
Ca  0.0000  0.0000  0.0720 (multiplicity 4)
Pt  0.0000  0.0000  0.5000 (multiplicity 2)

ΔH_f (0 K) = 0.55 eV/atom

***

Entry 8:
DFT (PBE) results for a relaxed structure of Sb2PdAu2.

a = 5.4188 Å, b = 5.4188 Å, c = 8.0461 Å
α = 90.00°, β = 90.00°, γ = 90.00°
Space group I4/mmm (No. 139)
Symmetry-distinct sites (fractional):
Sb  0.0000  0.5000  0.2500 (multiplicity 4)
Pd  0.0000  0.0000  0.0000 (multiplicity 2)
Au  0.0000  0.0000  0.3360 (multiplicity 4)

raw formation energy = 4.68 kcal/mol of atoms

***

Entry 9:
DFT (PBE) results for a relaxed structure of Cu2TeI.

a = 7.0168 Å, b = 7.0168 Å, c = 7.0168 Å
α = 90.00°, β = 90.00°, γ = 90.00°
Space group Fm-3m (No. 225)
Symmetry-distinct sites (fractional):
Cu  0.2500  0.2500  0.2500 (multiplicity 8)
Te  0.0000  0.0000  0.0000 (multiplicity 4)
I  0.0000  0.0000  0.5000 (multiplicity 4)

raw formation energy = 13.63 kcal/mol of atoms

***

Entry 10:
DFT (PBE) results for a relaxed structure of BaBePt.

a = 4.0521 Å, b = 4.0521 Å, c = 4.9603 Å
α = 90.00°, β = 90.00°, γ = 120.00°
Space group P-6m2 (No. 187)
Symmetry-distinct sites (fractional):
Ba  0.0000  0.0000  0.0000 (multiplicity 1)
Be  0.6667  0.3333  0.5000 (multiplicity 1)
Pt  0.3333  0.6667  0.5000 (multiplicity 1)

ΔH_f (0 K) = -0.49 eV/atom

***

Entry 11:
DFT (PBE) results for a relaxed structure of Rb3Sc2PaS6.

a = 6.8190 Å, b = 11.8108 Å, c = 8.0098 Å
α = 90.00°, β = 106.49°, γ = 90.00°
Space group C2/m (No. 12)
Symmetry-distinct sites (fractional):
Rb  0.0000  0.0000  0.0000 (multiplicity 2)
Rb  0.0000  0.3332  0.0000 (multiplicity 4)
Sc  0.0000  0.1666  0.5000 (multiplicity 4)
Pa  0.0000  0.5000  0.5000 (multiplicity 2)
S  0.2220  0.0000  0.6880 (multiplicity 4)
S  0.2330  0.3296  0.6880 (multiplicity 8)

raw formation energy = -37.23 kcal/mol of atoms

***

Looking at uncorrected energy for the records above, in order, we have -0.2463 -0.2469 -0.3456 -0.2507 -0.1989 -0.2260 -0.0663 -0.1395 -0.0966 -0.1611 -0.2119 hartree per atom.